Cs2LiPrF6: relaxed, PBE.

Geometry as POSCAR:
```
Cs2LiPrF6
1.0
0.000 4.545 4.545
4.545 0.000 4.545
4.545 4.545 0.000
Cs Li Pr F
2 1 1 6
direct
0.250 0.250 0.250 Cs
0.750 0.750 0.750 Cs
0.000 0.000 0.000 Li
0.500 0.500 0.500 Pr
0.245 0.245 0.755 F
0.245 0.755 0.245 F
0.245 0.755 0.755 F
0.755 0.245 0.245 F
0.755 0.245 0.755 F
0.755 0.755 0.245 F
```

Calculated values
Formation energy without anion corrections, eV/atom: -3.267
D(E_F), states/eV/atom: 0.000

---

CaThI2: relaxed, PBE.

Geometry as POSCAR:
```
CaThI2
1.0
1.969 1.137 10.707
-1.969 1.137 10.707
0.000 -2.274 10.707
Ca Th I
1 1 2
direct
0.000 0.000 0.000 Ca
0.500 0.500 0.500 Th
0.399 0.399 0.399 I
0.601 0.601 0.601 I
```

Calculated values
Formation energy without anion corrections, eV/atom: -0.606
D(E_F), states/eV/atom: 1.077

---

La2CdGa2: relaxed, PBE.

Geometry as POSCAR:
```
La2CdGa2
1.0
2.130 -6.975 0.000
2.130 6.975 0.000
0.000 0.000 4.491
La Cd Ga
2 1 2
direct
0.132 0.868 0.000 La
0.868 0.132 0.000 La
0.500 0.500 0.500 Cd
0.301 0.699 0.500 Ga
0.699 0.301 0.500 Ga
```

Calculated values
ΔE_f, eV per atom: -0.544
D(E_F), states/eV/atom: 0.961

---

Cs2TlGeSb2: relaxed, PBE.

Geometry as POSCAR:
```
Cs2TlGeSb2
1.0
-3.951 8.287 3.788
3.951 -8.287 3.788
3.951 8.287 -3.788
Cs Tl Ge Sb
4 2 2 4
direct
0.168 0.249 0.417 Cs
0.332 0.749 0.082 Cs
0.668 0.251 0.918 Cs
0.832 0.751 0.583 Cs
0.250 0.750 0.500 Tl
0.750 0.250 0.500 Tl
0.250 0.250 0.000 Ge
0.750 0.750 0.000 Ge
0.082 0.786 0.868 Sb
0.418 0.286 0.703 Sb
0.582 0.714 0.297 Sb
0.918 0.214 0.132 Sb
```

Calculated values
Formation energy without anion corrections, eV/atom: -0.271
D(E_F), states/eV/atom: 0.160

---

Sc3PbAu: relaxed, PBE.

Geometry as POSCAR:
```
Sc3PbAu
1.0
5.363 0.000 0.000
0.000 5.363 0.000
0.000 0.000 5.363
Sc Pb Au
3 1 1
direct
0.000 0.000 0.500 Sc
0.000 0.500 0.000 Sc
0.500 0.000 0.000 Sc
0.000 0.000 0.000 Pb
0.500 0.500 0.500 Au
```

Calculated values
Polymorph energy (0 for the lowest one), meV/atom: 662.9
ΔE_f, eV per atom: 0.509
D(E_F), states/eV/atom: 0.662

---

Pm3Y8Tm3: relaxed, PBE.

Geometry as POSCAR:
```
Pm3Y8Tm3
1.0
-2.826 5.361 7.566
2.826 -5.361 7.566
2.826 5.361 -7.566
Pm Y Tm
3 8 3
direct
0.000 0.000 0.000 Pm
0.306 0.000 0.306 Pm
0.694 0.000 0.694 Pm
0.057 0.396 0.660 Y
0.064 0.222 0.841 Y
0.264 0.604 0.660 Y
0.381 0.222 0.159 Y
0.619 0.778 0.841 Y
0.736 0.396 0.340 Y
0.936 0.778 0.159 Y
0.943 0.604 0.340 Y
0.315 0.815 0.500 Tm
0.500 0.500 0.000 Tm
0.685 0.185 0.500 Tm
```

Calculated values
Polymorph energy (0 for the lowest one), meV/atom: 19.6
ΔE_f, eV per atom: 0.136
D(E_F), states/eV/atom: 1.690

---

K2TiHgBr: relaxed, PBE.

Geometry as POSCAR:
```
K2TiHgBr
1.0
6.098 0.000 0.000
0.000 6.098 0.000
0.000 0.000 6.769
K Ti Hg Br
2 1 1 1
direct
0.000 0.500 0.000 K
0.500 0.000 0.000 K
0.000 0.000 0.500 Ti
0.500 0.500 0.500 Hg
0.500 0.500 0.000 Br
```

Calculated values
Formation energy without anion corrections, eV/atom: 0.229
D(E_F), states/eV/atom: 1.344

---

Y2HgAu: relaxed, PBE.

Geometry as POSCAR:
```
Y2HgAu
1.0
-2.175 2.175 5.187
2.175 -2.175 5.187
2.175 2.175 -5.187
Y Hg Au
2 1 1
direct
0.000 0.000 0.000 Y
0.750 0.250 0.500 Y
0.500 0.500 0.000 Hg
0.250 0.750 0.500 Au
```

Calculated values
ΔE_f, eV per atom: -0.476
D(E_F), states/eV/atom: 0.975

---

no.,ρ (g cm⁻³),calculated volume (Å³/atom)
1,4.7,18.77
2,6.1,35.96
3,6.6,26.68
4,5.3,41.35
5,5.8,30.85
6,6.0,32.75
7,2.7,50.35
8,9.7,24.55